[1]
DFT (PBE-GGA) results for crystalline Sr2YAg at its relaxed geometry.

Total magnetic moment ... 0.39 μB/f.u.
ΔH_f (0 K) ... 0.40 eV/f.u.
Raw total energy ... -36.9 eV/cell
DOS(E_F) ... 1.298 states/eV per atom

Cell and atoms, written as CIF:
```
data_Sr2YAg
_chemical_formula_sum 'Sr6 Y3 Ag3'
_cell_length_a 3.9800
_cell_length_b 3.9800
_cell_length_c 33.1400
_cell_angle_alpha 90.00
_cell_angle_beta 90.00
_cell_angle_gamma 120.00
_space_group_name_H-M_alt 'R -3 m'
_space_group_IT_number 166
_space_group_name_Hall '-R 3 2"'
loop_
_atom_site_label
_atom_site_fract_x
_atom_site_fract_y
_atom_site_fract_z
_atom_site_occupancy
Sr1 0.0000 0.0000 0.2374 1
Y1 0.0000 0.0000 0.0000 1
Ag1 0.0000 0.0000 0.5000 1
```

[2]
DFT (PBE-GGA) results for crystalline Li2YCd at its relaxed geometry.

Total magnetic moment ... 0.00 μB/f.u.
ΔH_f (0 K) ... -0.13 eV/f.u.
Raw total energy ... -11.3 eV/cell
DOS(E_F) ... 0.907 states/eV per atom

Cell and atoms, written as CIF:
```
data_Li2YCd
_chemical_formula_sum 'Li2 Y1 Cd1'
_cell_length_a 3.4181
_cell_length_b 5.2883
_cell_length_c 5.3075
_cell_angle_alpha 90.00
_cell_angle_beta 90.00
_cell_angle_gamma 90.00
_space_group_name_H-M_alt 'P m m m'
_space_group_IT_number 47
loop_
_space_group_symop_operation_xyz
'x,y,z'
'-x,-y,-z'
'-x,-y,z'
'x,y,-z'
'x,-y,-z'
'-x,y,z'
'-x,y,-z'
'x,-y,z'
loop_
_atom_site_label
_atom_site_fract_x
_atom_site_fract_y
_atom_site_fract_z
_atom_site_occupancy
Li1 0.0000 0.0000 0.0000 1
Li2 0.5000 0.5000 0.0000 1
Y1 0.0000 0.5000 0.5000 1
Cd1 0.5000 0.0000 0.5000 1
```